Record 1
Below is a relaxed structure of La6PmNdTm2, with properties calculated at the GGA-PBE level.

Properties
- Total moment: 0.00 Bohr magnetons per cell
- V: 358.06 Å³/f.u.
- Crystal system: monoclinic
- Energy of formation: 0.186 eV per atom

```
data_La6PmNdTm2
_chemical_formula_sum 'La12 Pm2 Nd2 Tm4'
_symmetry_space_group_name_H-M 'C 1 2/m 1'
_symmetry_Int_Tables_number 12
_cell_length_a 11.335
_cell_length_b 7.245
_cell_length_c 8.933
_cell_angle_alpha 90.00
_cell_angle_beta 102.52
_cell_angle_gamma 90.00
loop_
_symmetry_equiv_pos_as_xyz
'x,y,z'
'-x,-y,-z'
'-x,y,-z'
'x,-y,z'
'x+1/2,y+1/2,z'
'-x+1/2,-y+1/2,-z'
'-x+1/2,y+1/2,-z'
'x+1/2,-y+1/2,z'
loop_
_atom_site_label
_atom_site_fract_x
_atom_site_fract_y
_atom_site_fract_z
La1 0.143 0.000 0.444
La2 0.179 0.279 0.805
Pm1 0.000 0.000 0.000
Nd1 0.000 0.500 0.500
Tm1 0.092 0.500 0.159
```

Record 2
Below is a relaxed structure of La2Pm2NdY4, with properties calculated at the GGA-PBE level.

Properties
- Total moment: 0.00 Bohr magnetons per cell
- V: 306.91 Å³/f.u.
- Crystal system: monoclinic
- Energy of formation: -0.004 eV per atom

```
data_La2Pm2NdY4
_chemical_formula_sum 'La4 Pm4 Nd2 Y8'
_symmetry_space_group_name_H-M 'C 1 2/m 1'
_symmetry_Int_Tables_number 12
_cell_length_a 19.039
_cell_length_b 3.674
_cell_length_c 9.743
_cell_angle_alpha 90.00
_cell_angle_beta 115.75
_cell_angle_gamma 90.00
loop_
_symmetry_equiv_pos_as_xyz
'x,y,z'
'-x,-y,-z'
'-x,y,-z'
'x,-y,z'
'x+1/2,y+1/2,z'
'-x+1/2,-y+1/2,-z'
'-x+1/2,y+1/2,-z'
'x+1/2,-y+1/2,z'
loop_
_atom_site_label
_atom_site_fract_x
_atom_site_fract_y
_atom_site_fract_z
La1 0.166 0.000 0.000
Pm1 0.148 0.500 0.664
Nd1 0.000 0.500 0.000
Y1 0.020 0.000 0.336
Y2 0.185 0.500 0.337
```

Record 3
Below is a relaxed structure of LaPmNd5Y2, with properties calculated at the GGA-PBE level.

Properties
- Total moment: 0.00 Bohr magnetons per cell
- V: 317.10 Å³/f.u.
- Crystal system: orthorhombic
- Energy of formation: 0.140 eV per atom

```
data_LaPmNd5Y2
_chemical_formula_sum 'La4 Pm4 Nd20 Y8'
_symmetry_space_group_name_H-M 'C m c 21'
_symmetry_Int_Tables_number 36
_cell_length_a 5.772
_cell_length_b 20.425
_cell_length_c 10.759
_cell_angle_alpha 90.00
_cell_angle_beta 90.00
_cell_angle_gamma 90.00
loop_
_symmetry_equiv_pos_as_xyz
'x,y,z'
'-x,-y,z+1/2'
'-x,y,z'
'x,-y,z+1/2'
'x+1/2,y+1/2,z'
'-x+1/2,-y+1/2,z+1/2'
'-x+1/2,y+1/2,z'
'x+1/2,-y+1/2,z+1/2'
loop_
_atom_site_label
_atom_site_fract_x
_atom_site_fract_y
_atom_site_fract_z
La1 0.000 0.084 0.000
Pm1 0.000 0.297 0.560
Nd1 0.000 0.022 0.291
Nd2 0.000 0.109 0.577
Nd3 0.000 0.205 0.253
Nd4 0.000 0.218 0.861
Nd5 0.000 0.482 0.577
Y1 0.000 0.383 0.875
Y2 0.000 0.388 0.283
```

Record 4
Below is a relaxed structure of La5Pm2NdY, with properties calculated at the GGA-PBE level.

Properties
- Total moment: 0.00 Bohr magnetons per cell
- V: 324.49 Å³/f.u.
- Crystal system: tetragonal
- Energy of formation: 0.265 eV per atom

```
data_La5Pm2NdY
_chemical_formula_sum 'La20 Pm8 Nd4 Y4'
_symmetry_space_group_name_H-M 'I 4/m c m'
_symmetry_Int_Tables_number 140
_symmetry_space_group_name_Hall '-I 4 2c'
_cell_length_a 9.176
_cell_length_b 9.176
_cell_length_c 15.416
_cell_angle_alpha 90.00
_cell_angle_beta 90.00
_cell_angle_gamma 90.00
loop_
_atom_site_label
_atom_site_fract_x
_atom_site_fract_y
_atom_site_fract_z
La1 0.000 0.000 0.000
La2 0.209 0.291 0.139
Pm1 0.114 0.386 0.500
Nd1 0.000 0.000 0.250
Y1 0.000 0.500 0.250
```

Record 5
Below is a relaxed structure of La2PmNd2Y, with properties calculated at the GGA-PBE level.

Properties
- Total moment: 0.00 Bohr magnetons per cell
- V: 209.95 Å³/f.u.
- Crystal system: orthorhombic
- Energy of formation: 0.044 eV per atom

```
data_La2PmNd2Y
_chemical_formula_sum 'La4 Pm2 Nd4 Y2'
_symmetry_space_group_name_H-M 'P m m a'
_symmetry_Int_Tables_number 51
_cell_length_a 7.186
_cell_length_b 5.815
_cell_length_c 10.049
_cell_angle_alpha 90.00
_cell_angle_beta 90.00
_cell_angle_gamma 90.00
loop_
_symmetry_equiv_pos_as_xyz
'x,y,z'
'-x,-y,-z'
'-x+1/2,-y,z'
'x+1/2,y,-z'
'x+1/2,-y,-z'
'-x+1/2,y,z'
'-x,y,-z'
'x,-y,z'
loop_
_atom_site_label
_atom_site_fract_x
_atom_site_fract_y
_atom_site_fract_z
La1 0.000 0.000 0.000
La2 0.250 0.500 0.174
Pm1 0.250 0.000 0.660
Nd1 0.250 0.000 0.333
Nd2 0.250 0.500 0.835
Y1 0.000 0.500 0.500
```

Record 6
Below is a relaxed structure of La2Pm4Nd2Y, with properties calculated at the GGA-PBE level.

Properties
- Total moment: 0.00 Bohr magnetons per cell
- V: 315.77 Å³/f.u.
- Crystal system: monoclinic
- Energy of formation: 0.009 eV per atom

```
data_La2Pm4Nd2Y
_chemical_formula_sum 'La4 Pm8 Nd4 Y2'
_symmetry_space_group_name_H-M 'C 1 2/m 1'
_symmetry_Int_Tables_number 12
_cell_length_a 19.214
_cell_length_b 3.704
_cell_length_c 9.844
_cell_angle_alpha 90.00
_cell_angle_beta 115.66
_cell_angle_gamma 90.00
loop_
_symmetry_equiv_pos_as_xyz
'x,y,z'
'-x,-y,-z'
'-x,y,-z'
'x,-y,z'
'x+1/2,y+1/2,z'
'-x+1/2,-y+1/2,-z'
'-x+1/2,y+1/2,-z'
'x+1/2,-y+1/2,z'
loop_
_atom_site_label
_atom_site_fract_x
_atom_site_fract_y
_atom_site_fract_z
La1 0.166 0.000 0.000
Pm1 0.019 0.000 0.332
Pm2 0.185 0.500 0.334
Nd1 0.147 0.500 0.666
Y1 0.000 0.500 0.000
```

Record 7
Below is a relaxed structure of La2PmNd2Y2, with properties calculated at the GGA-PBE level.

Properties
- Total moment: 0.00 Bohr magnetons per cell
- V: 244.12 Å³/f.u.
- Crystal system: monoclinic
- Energy of formation: 0.021 eV per atom

```
data_La2PmNd2Y2
_chemical_formula_sum 'La4 Pm2 Nd4 Y4'
_symmetry_space_group_name_H-M 'C 1 2/m 1'
_symmetry_Int_Tables_number 12
_cell_length_a 11.596
_cell_length_b 5.191
_cell_length_c 8.194
_cell_angle_alpha 90.00
_cell_angle_beta 98.14
_cell_angle_gamma 90.00
loop_
_symmetry_equiv_pos_as_xyz
'x,y,z'
'-x,-y,-z'
'-x,y,-z'
'x,-y,z'
'x+1/2,y+1/2,z'
'-x+1/2,-y+1/2,-z'
'-x+1/2,y+1/2,-z'
'x+1/2,-y+1/2,z'
loop_
_atom_site_label
_atom_site_fract_x
_atom_site_fract_y
_atom_site_fract_z
La1 0.143 0.000 0.428
Pm1 0.000 0.000 0.000
Nd1 0.071 0.500 0.718
Y1 0.215 0.500 0.139
```

Record 8
Below is a relaxed structure of LaPm6Nd2Y, with properties calculated at the GGA-PBE level.

Properties
- Total moment: 0.00 Bohr magnetons per cell
- V: 350.49 Å³/f.u.
- Crystal system: monoclinic
- Energy of formation: 0.115 eV per atom

```
data_LaPm6Nd2Y
_chemical_formula_sum 'La4 Pm24 Nd8 Y4'
_symmetry_space_group_name_H-M 'C 1 2/c 1'
_symmetry_Int_Tables_number 15
_cell_length_a 9.203
_cell_length_b 15.504
_cell_length_c 9.946
_cell_angle_alpha 90.00
_cell_angle_beta 98.91
_cell_angle_gamma 90.00
loop_
_symmetry_equiv_pos_as_xyz
'x,y,z'
'-x,-y,-z'
'-x,y,-z+1/2'
'x,-y,z+1/2'
'x+1/2,y+1/2,z'
'-x+1/2,-y+1/2,-z'
'-x+1/2,y+1/2,-z+1/2'
'x+1/2,-y+1/2,z+1/2'
loop_
_atom_site_label
_atom_site_fract_x
_atom_site_fract_y
_atom_site_fract_z
La1 0.000 0.095 0.250
Pm1 0.064 0.315 0.445
Pm2 0.105 0.104 0.621
Pm3 0.198 0.275 0.816
Nd1 0.241 0.448 0.041
Y1 0.000 0.479 0.750
```